# 1
The following is a GGA-PBEsol calculation of CdBrN2 after structural relaxation, from Alexandria via LeMat-Bulk.

abc: 3.4170 3.4170 6.4909
angles: 74.74 74.74 60.00
Element x y z (fractional)
N  0.1121  0.1121  0.6637
Br  0.5000  0.5000  0.5000
N  0.8879  0.8879  0.3363
Cd  0.0000  0.0000  0.0000

---

# 2
The following is a GGA-PBEsol calculation of NaCd2BrN after structural relaxation, from Alexandria via LeMat-Bulk.

abc: 4.2465 4.2465 8.4782
angles: 90.00 90.00 90.00
Element x y z (fractional)
Cd  0.0000  0.5000  0.0000
Na  0.5000  0.5000  0.5000
Br  0.0000  0.0000  0.5000
Cd  0.5000  0.0000  0.0000
N  0.0000  0.0000  0.0000

---

# 3
The following is a GGA-PBEsol calculation of CdRuBr2N after structural relaxation, from Alexandria via LeMat-Bulk.

abc: 4.2833 4.7012 4.7012
angles: 90.00 90.00 90.00
Element x y z (fractional)
Cd  0.5000  0.0000  0.0000
Br  0.0000  0.0000  0.5000
N  0.0000  0.0000  0.0000
Br  0.0000  0.5000  0.0000
Ru  0.5000  0.5000  0.5000

---

# 4
The following is a GGA-PBEsol calculation of CdTeBrN2 after structural relaxation, from Alexandria via LeMat-Bulk.

abc: 3.9583 3.9583 7.4187
angles: 90.00 90.00 90.00
Element x y z (fractional)
Te  0.0000  0.0000  0.5000
Br  0.0000  0.0000  0.0000
N  0.5000  0.0000  0.0000
Cd  0.5000  0.5000  0.5000
N  0.0000  0.5000  0.0000

Results
offset from the most stable computed form = 236 meV per atom

---

no.,DFT total energy (eV/atom),formation energy (no corrections) (meV/atom),M_tot (μB per cell)
1,-3.3951,1635,0.0
2,-2.8559,-18,0.0
3,-3.3719,1355,2.7
4,-2.8960,1833,1.3